Arrangement one

{
  "formula": "MnP2OF",
  "functional": "GGA+U",
  "state": "relaxed",
  "cell": [[4.4942, 0.0000, 0.0000], [0.0000, 4.4942, 0.0000], [0.0000, 0.0000, 3.4300]],
  "species": ["Mn", "P", "P", "O", "F"],
  "fractional_positions": [[0.0000, 0.0000, 0.0000], [0.0000, 0.5000, 0.0000], [0.5000, 0.0000, 0.0000], [0.0000, 0.0000, 0.5000], [0.5000, 0.5000, 0.5000]],
  "space_group": "No. 123",
  "n_ef_per_ev_cell": 3.963,
  "rho_g_cm3": 3.64
}



Arrangement two

{
  "formula": "MnP2OF",
  "functional": "GGA+U",
  "state": "relaxed",
  "cell": [[3.9808, 0.0000, 0.0000], [0.0000, 3.9808, 0.0000], [0.0000, 0.0000, 4.6952]],
  "species": ["Mn", "P", "P", "O", "F"],
  "fractional_positions": [[0.0000, 0.0000, 0.0000], [0.0000, 0.5000, 0.5000], [0.5000, 0.0000, 0.5000], [0.5000, 0.5000, 0.0000], [0.5000, 0.5000, 0.5000]],
  "space_group": "No. 123",
  "n_ef_per_ev_cell": 2.094,
  "rho_g_cm3": 3.39
}



Which is most stable? The ranking, best first, is arrangement one, arrangement two.



Arrangement one

{
  "formula": "MnPdOF2",
  "functional": "GGA+U",
  "state": "relaxed",
  "cell": [[4.1805, 0.0000, 0.0000], [0.0000, 4.1805, 0.0000], [0.0000, 0.0000, 4.0996]],
  "species": ["Mn", "Pd", "O", "F", "F"],
  "fractional_positions": [[0.0000, 0.0000, 0.0000], [0.5000, 0.5000, 0.5000], [0.5000, 0.5000, 0.0000], [0.0000, 0.5000, 0.5000], [0.5000, 0.0000, 0.5000]],
  "space_group": "No. 123",
  "n_ef_per_ev_cell": 1.333,
  "rho_g_cm3": 4.99
}



Arrangement two

{
  "formula": "MnPdOF2",
  "functional": "GGA+U",
  "state": "relaxed",
  "cell": [[4.0556, 0.0000, 0.0000], [0.0000, 4.0556, 0.0000], [0.0000, 0.0000, 3.8873]],
  "species": ["Mn", "Pd", "O", "F", "F"],
  "fractional_positions": [[0.0000, 0.0000, 0.0000], [0.5000, 0.5000, 0.5000], [0.0000, 0.0000, 0.5000], [0.0000, 0.5000, 0.0000], [0.5000, 0.0000, 0.0000]],
  "space_group": "No. 123",
  "n_ef_per_ev_cell": 3.878,
  "rho_g_cm3": 5.59
}



Which is most stable? The ranking, best first, is arrangement two, arrangement one.



Arrangement one

{
  "formula": "MnRhOF2",
  "functional": "GGA+U",
  "state": "relaxed",
  "cell": [[4.0860, 0.0000, 0.0000], [0.0000, 4.0860, 0.0000], [0.0000, 0.0000, 3.8762]],
  "species": ["Mn", "Rh", "O", "F", "F"],
  "fractional_positions": [[0.0000, 0.0000, 0.0000], [0.5000, 0.5000, 0.5000], [0.0000, 0.0000, 0.5000], [0.0000, 0.5000, 0.0000], [0.5000, 0.0000, 0.0000]],
  "space_group": "No. 123",
  "n_ef_per_ev_cell": 6.224,
  "rho_g_cm3": 5.44
}



Arrangement two

{
  "formula": "MnRhOF2",
  "functional": "GGA+U",
  "state": "relaxed",
  "cell": [[4.3524, 0.0000, 0.0000], [0.0000, 4.3524, 0.0000], [0.0000, 0.0000, 3.8078]],
  "species": ["Mn", "Rh", "O", "F", "F"],
  "fractional_positions": [[0.0000, 0.0000, 0.0000], [0.5000, 0.5000, 0.5000], [0.5000, 0.5000, 0.0000], [0.0000, 0.5000, 0.5000], [0.5000, 0.0000, 0.5000]],
  "space_group": "No. 123",
  "n_ef_per_ev_cell": 3.950,
  "rho_g_cm3": 4.88
}



Which is most stable? The ranking, best first, is arrangement one, arrangement two.



Arrangement one

{
  "formula": "MnRuOF2",
  "functional": "GGA+U",
  "state": "relaxed",
  "cell": [[4.4077, 0.0000, 0.0000], [0.0000, 4.4077, 0.0000], [0.0000, 0.0000, 3.7297]],
  "species": ["Mn", "Ru", "O", "F", "F"],
  "fractional_positions": [[0.0000, 0.0000, 0.0000], [0.5000, 0.5000, 0.5000], [0.5000, 0.5000, 0.0000], [0.0000, 0.5000, 0.5000], [0.5000, 0.0000, 0.5000]],
  "space_group": "No. 123",
  "n_ef_per_ev_cell": 3.239,
  "rho_g_cm3": 4.81
}



Arrangement two

{
  "formula": "MnRuOF2",
  "functional": "GGA+U",
  "state": "relaxed",
  "cell": [[4.0856, 0.0000, 0.0000], [0.0000, 4.0856, 0.0000], [0.0000, 0.0000, 3.9046]],
  "species": ["Mn", "Ru", "O", "F", "F"],
  "fractional_positions": [[0.0000, 0.0000, 0.0000], [0.5000, 0.5000, 0.5000], [0.0000, 0.0000, 0.5000], [0.0000, 0.5000, 0.0000], [0.5000, 0.0000, 0.0000]],
  "space_group": "No. 123",
  "n_ef_per_ev_cell": 9.237,
  "rho_g_cm3": 5.35
}



Which is most stable? The ranking, best first, is arrangement one, arrangement two.



Arrangement one

{
  "formula": "ScMnOF2",
  "functional": "GGA+U",
  "state": "relaxed",
  "cell": [[4.0719, 0.0000, 0.0000], [0.0000, 4.0719, 0.0000], [0.0000, 0.0000, 4.1300]],
  "species": ["Sc", "Mn", "O", "F", "F"],
  "fractional_positions": [[0.0000, 0.0000, 0.0000], [0.5000, 0.5000, 0.5000], [0.5000, 0.5000, 0.0000], [0.0000, 0.5000, 0.5000], [0.5000, 0.0000, 0.5000]],
  "space_group": "No. 123",
  "n_ef_per_ev_cell": 2.493,
  "rho_g_cm3": 3.73
}



Arrangement two

{
  "formula": "ScMnOF2",
  "functional": "GGA+U",
  "state": "relaxed",
  "cell": [[4.2246, 0.0000, 0.0000], [0.0000, 4.2246, 0.0000], [0.0000, 0.0000, 4.0600]],
  "species": ["Sc", "Mn", "O", "F", "F"],
  "fractional_positions": [[0.0000, 0.0000, 0.0000], [0.5000, 0.5000, 0.5000], [0.0000, 0.0000, 0.5000], [0.0000, 0.5000, 0.0000], [0.5000, 0.0000, 0.0000]],
  "space_group": "No. 123",
  "n_ef_per_ev_cell": 0.638,
  "rho_g_cm3": 3.53
}



Which is most stable? The ranking, best first, is arrangement two, arrangement one.



Arrangement one

{
  "formula": "MnSnOF2",
  "functional": "GGA+U",
  "state": "relaxed",
  "cell": [[4.1585, 0.0000, 0.0000], [0.0000, 4.1585, 0.0000], [0.0000, 0.0000, 4.0855]],
  "species": ["Mn", "Sn", "O", "F", "F"],
  "fractional_positions": [[0.0000, 0.0000, 0.0000], [0.5000, 0.5000, 0.5000], [0.0000, 0.0000, 0.5000], [0.0000, 0.5000, 0.0000], [0.5000, 0.0000, 0.0000]],
  "space_group": "No. 123",
  "n_ef_per_ev_cell": 0.605,
  "rho_g_cm3": 5.35
}



Arrangement two

{
  "formula": "MnSnOF2",
  "functional": "GGA+U",
  "state": "relaxed",
  "cell": [[4.5585, 0.0000, 0.0000], [0.0000, 4.5585, 0.0000], [0.0000, 0.0000, 4.1594]],
  "species": ["Mn", "Sn", "O", "F", "F"],
  "fractional_positions": [[0.0000, 0.0000, 0.0000], [0.5000, 0.5000, 0.5000], [0.5000, 0.5000, 0.0000], [0.0000, 0.5000, 0.5000], [0.5000, 0.0000, 0.5000]],
  "space_group": "No. 123",
  "n_ef_per_ev_cell": 0.719,
  "rho_g_cm3": 4.37
}



Which is most stable? The ranking, best first, is arrangement one, arrangement two.



Arrangement one

{
  "formula": "MnTeOF2",
  "functional": "GGA+U",
  "state": "relaxed",
  "cell": [[4.0919, 0.0000, 0.0000], [0.0000, 4.0919, 0.0000], [0.0000, 0.0000, 4.2869]],
  "species": ["Mn", "Te", "O", "F", "F"],
  "fractional_positions": [[0.0000, 0.0000, 0.0000], [0.5000, 0.5000, 0.5000], [0.0000, 0.0000, 0.5000], [0.0000, 0.5000, 0.0000], [0.5000, 0.0000, 0.0000]],
  "space_group": "No. 123",
  "n_ef_per_ev_cell": 3.260,
  "rho_g_cm3": 5.47
}



Arrangement two

{
  "formula": "MnTeOF2",
  "functional": "GGA+U",
  "state": "relaxed",
  "cell": [[4.7719, 0.0000, 0.0000], [0.0000, 4.7719, 0.0000], [0.0000, 0.0000, 4.1217]],
  "species": ["Mn", "Te", "O", "F", "F"],
  "fractional_positions": [[0.0000, 0.0000, 0.0000], [0.5000, 0.5000, 0.5000], [0.5000, 0.5000, 0.0000], [0.0000, 0.5000, 0.5000], [0.5000, 0.0000, 0.5000]],
  "space_group": "No. 123",
  "n_ef_per_ev_cell": 2.016,
  "rho_g_cm3": 4.18
}



Which is most stable? The ranking, best first, is arrangement one, arrangement two.



Arrangement one

{
  "formula": "MnTlOF2",
  "functional": "GGA+U",
  "state": "relaxed",
  "cell": [[4.3023, 0.0000, 0.0000], [0.0000, 4.3023, 0.0000], [0.0000, 0.0000, 3.8666]],
  "species": ["Mn", "Tl", "O", "F", "F"],
  "fractional_positions": [[0.0000, 0.0000, 0.0000], [0.5000, 0.5000, 0.5000], [0.0000, 0.0000, 0.5000], [0.0000, 0.5000, 0.0000], [0.5000, 0.0000, 0.0000]],
  "space_group": "No. 123",
  "n_ef_per_ev_cell": 1.462,
  "rho_g_cm3": 7.27
}



Arrangement two

{
  "formula": "MnTlOF2",
  "functional": "GGA+U",
  "state": "relaxed",
  "cell": [[4.5926, 0.0000, 0.0000], [0.0000, 4.5926, 0.0000], [0.0000, 0.0000, 4.2145]],
  "species": ["Mn", "Tl", "O", "F", "F"],
  "fractional_positions": [[0.0000, 0.0000, 0.0000], [0.5000, 0.5000, 0.5000], [0.5000, 0.5000, 0.0000], [0.0000, 0.5000, 0.5000], [0.5000, 0.0000, 0.5000]],
  "space_group": "No. 123",
  "n_ef_per_ev_cell": 1.411,
  "rho_g_cm3": 5.85
}



Which is most stable? The ranking, best first, is arrangement one, arrangement two.



Arrangement one

{
  "formula": "MnWOF2",
  "functional": "GGA+U",
  "state": "relaxed",
  "cell": [[4.2935, 0.0000, 0.0000], [0.0000, 4.2935, 0.0000], [0.0000, 0.0000, 4.2521]],
  "species": ["Mn", "W", "O", "F", "F"],
  "fractional_positions": [[0.0000, 0.0000, 0.0000], [0.5000, 0.5000, 0.5000], [0.5000, 0.5000, 0.0000], [0.0000, 0.5000, 0.5000], [0.5000, 0.0000, 0.5000]],
  "space_group": "No. 123",
  "n_ef_per_ev_cell": 0.837,
  "rho_g_cm3": 6.20
}



Arrangement two

{
  "formula": "MnWOF2",
  "functional": "GGA+U",
  "state": "relaxed",
  "cell": [[3.9993, 0.0000, 0.0000], [0.0000, 3.9993, 0.0000], [0.0000, 0.0000, 4.3978]],
  "species": ["Mn", "W", "O", "F", "F"],
  "fractional_positions": [[0.0000, 0.0000, 0.0000], [0.5000, 0.5000, 0.5000], [0.0000, 0.0000, 0.5000], [0.0000, 0.5000, 0.0000], [0.5000, 0.0000, 0.0000]],
  "space_group": "No. 123",
  "n_ef_per_ev_cell": 0.797,
  "rho_g_cm3": 6.91
}



Which is most stable? The ranking, best first, is arrangement one, arrangement two.



Arrangement one

{
  "formula": "MnOs3F",
  "functional": "GGA+U",
  "state": "relaxed",
  "cell": [[4.2297, 0.0000, 0.0000], [0.0000, 4.2297, 0.0000], [0.0000, 0.0000, 4.2297]],
  "species": ["Mn", "Os", "Os", "Os", "F"],
  "fractional_positions": [[0.0000, 0.0000, 0.0000], [0.0000, 0.5000, 0.5000], [0.5000, 0.0000, 0.5000], [0.5000, 0.5000, 0.0000], [0.5000, 0.5000, 0.5000]],
  "space_group": "No. 221",
  "n_ef_per_ev_cell": 6.597,
  "rho_g_cm3": 14.15
}



Arrangement two

{
  "formula": "MnOs3F",
  "functional": "GGA+U",
  "state": "relaxed",
  "cell": [[4.4442, 0.0000, 0.0000], [0.0000, 4.4442, 0.0000], [0.0000, 0.0000, 4.4442]],
  "species": ["Mn", "Os", "Os", "Os", "F"],
  "fractional_positions": [[0.0000, 0.0000, 0.0000], [0.0000, 0.0000, 0.5000], [0.0000, 0.5000, 0.0000], [0.5000, 0.0000, 0.0000], [0.5000, 0.5000, 0.5000]],
  "space_group": "No. 221",
  "n_ef_per_ev_cell": 6.626,
  "rho_g_cm3": 12.20
}



Which is most stable? The ranking, best first, is arrangement one, arrangement two.



Arrangement one

{
  "formula": "MnOsF3",
  "functional": "GGA+U",
  "state": "relaxed",
  "cell": [[3.9693, 0.0000, 0.0000], [0.0000, 3.9693, 0.0000], [0.0000, 0.0000, 3.9693]],
  "species": ["Mn", "Os", "F", "F", "F"],
  "fractional_positions": [[0.0000, 0.0000, 0.0000], [0.5000, 0.5000, 0.5000], [0.0000, 0.0000, 0.5000], [0.0000, 0.5000, 0.0000], [0.5000, 0.0000, 0.0000]],
  "space_group": "No. 221",
  "n_ef_per_ev_cell": 16.908,
  "rho_g_cm3": 8.02
}



Arrangement two

{
  "formula": "MnOsF3",
  "functional": "GGA+U",
  "state": "relaxed",
  "cell": [[4.2489, 0.0000, 0.0000], [0.0000, 4.2489, 0.0000], [0.0000, 0.0000, 4.2489]],
  "species": ["Mn", "Os", "F", "F", "F"],
  "fractional_positions": [[0.0000, 0.0000, 0.0000], [0.5000, 0.5000, 0.5000], [0.0000, 0.5000, 0.5000], [0.5000, 0.0000, 0.5000], [0.5000, 0.5000, 0.0000]],
  "space_group": "No. 221",
  "n_ef_per_ev_cell": 3.904,
  "rho_g_cm3": 6.54
}



Which is most stable? The ranking, best first, is arrangement two, arrangement one.



Arrangement one

{
  "formula": "MnPF2",
  "functional": "GGA+U",
  "state": "relaxed",
  "cell": [[1.4552, 0.8402, 9.4680], [-1.4552, 0.8402, 9.4680], [0.0000, -1.6803, 9.4680]],
  "species": ["Mn", "P", "F", "F"],
  "fractional_positions": [[0.0000, 0.0000, 0.0000], [0.5000, 0.5000, 0.5000], [0.3737, 0.3737, 0.3737], [0.6263, 0.6263, 0.6263]],
  "space_group": "No. 166",
  "n_ef_per_ev_cell": 0.961,
  "rho_g_cm3": 2.96
}



Arrangement two

{
  "formula": "MnPF2",
  "functional": "GGA+U",
  "state": "relaxed",
  "cell": [[-3.1049, 3.1049, 3.8735], [3.1049, -3.1049, 3.8735], [3.1049, 3.1049, -3.8735]],
  "species": ["Mn", "Mn", "P", "P", "F", "F", "F", "F"],
  "fractional_positions": [[0.0000, 0.0000, 0.0000], [0.7500, 0.2500, 0.5000], [0.2500, 0.7500, 0.5000], [0.5000, 0.5000, 0.0000], [0.0037, 0.6250, 0.8787], [0.3750, 0.2537, 0.3787], [0.7463, 0.1250, 0.1213], [0.8750, 0.9963, 0.6213]],
  "space_group": "No. 122",
  "n_ef_per_ev_cell": 2.041,
  "rho_g_cm3": 2.75
}



Arrangement three

{
  "formula": "MnPF2",
  "functional": "GGA+U",
  "state": "relaxed",
  "cell": [[1.4440, 0.8337, 8.0655], [-1.4440, 0.8337, 8.0655], [0.0000, -1.6674, 8.0655]],
  "species": ["Mn", "P", "F", "F"],
  "fractional_positions": [[0.0000, 0.0000, 0.0000], [0.5000, 0.5000, 0.5000], [0.0774, 0.0774, 0.0774], [0.9226, 0.9226, 0.9226]],
  "space_group": "No. 166",
  "n_ef_per_ev_cell": 1.340,
  "rho_g_cm3": 3.53
}



Arrangement four

{
  "formula": "MnPF2",
  "functional": "GGA+U",
  "state": "relaxed",
  "cell": [[0.0000, 3.0018, 3.0018], [3.0018, 0.0000, 3.0018], [3.0018, 3.0018, 0.0000]],
  "species": ["Mn", "P", "F", "F"],
  "fractional_positions": [[0.0000, 0.0000, 0.0000], [0.5000, 0.5000, 0.5000], [0.2500, 0.2500, 0.2500], [0.7500, 0.7500, 0.7500]],
  "space_group": "No. 225",
  "n_ef_per_ev_cell": 3.827,
  "rho_g_cm3": 3.80
}



Which is most stable? The ranking, best first, is arrangement two, arrangement three, arrangement one, arrangement four.



Arrangement one

{
  "formula": "MnP2SF",
  "functional": "GGA+U",
  "state": "relaxed",
  "cell": [[4.3695, 0.0000, 0.0000], [0.0000, 4.3695, 0.0000], [0.0000, 0.0000, 4.3186]],
  "species": ["Mn", "P", "P", "S", "F"],
  "fractional_positions": [[0.0000, 0.0000, 0.0000], [0.0000, 0.5000, 0.0000], [0.5000, 0.0000, 0.0000], [0.0000, 0.0000, 0.5000], [0.5000, 0.5000, 0.5000]],
  "space_group": "No. 123",
  "n_ef_per_ev_cell": 4.276,
  "rho_g_cm3": 3.38
}



Arrangement two

{
  "formula": "MnP2SF",
  "functional": "GGA+U",
  "state": "relaxed",
  "cell": [[4.0196, 0.0000, 0.0000], [0.0000, 4.0196, 0.0000], [0.0000, 0.0000, 5.5535]],
  "species": ["Mn", "P", "P", "S", "F"],
  "fractional_positions": [[0.0000, 0.0000, 0.0000], [0.0000, 0.5000, 0.5000], [0.5000, 0.0000, 0.5000], [0.5000, 0.5000, 0.0000], [0.5000, 0.5000, 0.5000]],
  "space_group": "No. 123",
  "n_ef_per_ev_cell": 2.594,
  "rho_g_cm3": 3.11
}



Which is most stable? The ranking, best first, is arrangement two, arrangement one.